(1)
VASP calculation (PBE) on a relaxed structure of La2PtI.

POSCAR file:
```
La2PtI
1.0
-4.0734 4.0734 4.0594
4.0734 -4.0734 4.0594
4.0734 4.0734 -4.0594
La Pt I
4 2 2
Cartesian
6.1101 1.6612 -1.0149 La
1.6612 2.0367 1.0149 La
-2.0367 2.4122 3.0446 La
2.4122 2.0367 5.0743 La
0.0000 0.0000 0.0000 Pt
0.0000 4.0734 2.0297 Pt
4.0734 0.0000 2.0297 I
0.0000 0.0000 4.0594 I
```

Values from the calculation:
The value obtained for the raw formation energy is -0.86 eV/atom.


(2)
VASP calculation (PBE) on a relaxed structure of La2PtI2.

POSCAR file:
```
La2PtI2
1.0
-3.1035 3.1035 4.2472
3.1035 -3.1035 4.2472
3.1035 3.1035 -4.2472
La Pt I
2 1 2
Cartesian
3.1035 0.0000 2.1236 La
0.0000 3.1035 2.1236 La
0.0000 0.0000 0.0000 Pt
0.0000 0.0000 2.5987 I
0.0000 0.0000 5.8957 I
```

Values from the calculation:
The value obtained for the raw formation energy is -0.51 eV/atom.


(3)
VASP calculation (PBE) on a relaxed structure of La4Pt2I5.

POSCAR file:
```
La4Pt2I5
1.0
12.4339 -2.1225 0.0000
12.4339 2.1225 0.0000
-0.2073 0.0000 8.9157
La Pt I
4 2 5
Cartesian
0.2527 0.0000 1.7840 La
8.2745 0.0000 8.5015 La
16.3860 0.0000 0.4143 La
24.4078 0.0000 7.1318 La
11.0779 0.0000 0.1222 Pt
13.5827 0.0000 8.7935 Pt
3.5038 0.0000 2.8633 I
5.0492 0.0000 7.2184 I
12.3303 0.0000 4.4579 I
19.6113 0.0000 1.6974 I
21.1568 0.0000 6.0524 I
```

Values from the calculation:
The value obtained for the raw formation energy is -1.25 eV/atom.


(4)
VASP calculation (PBE) on a relaxed structure of La2PtI.

POSCAR file:
```
La2PtI
1.0
2.1579 1.2458 8.3035
-2.1579 1.2458 8.3035
0.0000 -2.4917 8.3035
La Pt I
2 1 1
Cartesian
0.0000 0.0000 0.0000 La
0.0000 0.0000 5.1856 La
0.0000 0.0000 15.0513 Pt
0.0000 0.0000 10.8567 I
```

Values from the calculation:
The value obtained for the raw formation energy is -1.21 eV/atom.